# 1
VASP calculation (PBE-GGA) on a geometry-optimized SrCd2Cu2 structure.

Cell and atoms, written as CIF:
```
data_SrCd2Cu2
_symmetry_space_group_name_H-M 'I 4/m m m'
_symmetry_Int_Tables_number 139
_symmetry_space_group_name_Hall '-I 4 2'
_cell_length_a 4.4285
_cell_length_b 4.4285
_cell_length_c 11.4619
_cell_angle_alpha 90.00
_cell_angle_beta 90.00
_cell_angle_gamma 90.00
loop_
_atom_site_label
_atom_site_fract_x
_atom_site_fract_y
_atom_site_fract_z
Sr1 0.0000 0.0000 0.0000
Cd1 0.0000 0.5000 0.2500
Cu1 0.0000 0.0000 0.3945
```

Properties
ΔE_f ... -125.3 meV/atom
Energy above the most stable polymorph in this dataset ... 0 meV per atom

# 2
VASP calculation (PBE-GGA) on a geometry-optimized SmB4Rh6 structure.

Cell and atoms, written as CIF:
```
data_SmB4Rh6
_symmetry_space_group_name_H-M 'I -4 2 m'
_symmetry_Int_Tables_number 121
_symmetry_space_group_name_Hall 'I -4 2'
_cell_length_a 5.7329
_cell_length_b 5.7329
_cell_length_c 8.2765
_cell_angle_alpha 90.00
_cell_angle_beta 90.00
_cell_angle_gamma 90.00
loop_
_atom_site_label
_atom_site_fract_x
_atom_site_fract_y
_atom_site_fract_z
Sm1 0.0000 0.0000 0.0000
B1 0.1467 0.1467 0.5728
Rh1 0.0000 0.5000 0.0000
Rh2 0.1839 0.1839 0.2902
```

Properties
ΔE_f ... -322.2 meV/atom
Energy above the most stable polymorph in this dataset ... 19 meV per atom

# 3
VASP calculation (PBE-GGA) on a geometry-optimized Li8BrNCl2 structure.

Cell and atoms, written as CIF:
```
data_Li8BrNCl2
_symmetry_space_group_name_H-M 'P 1 2/m 1'
_symmetry_Int_Tables_number 10
_symmetry_space_group_name_Hall '-P 2y'
_cell_length_a 5.8728
_cell_length_b 7.2409
_cell_length_c 6.7991
_cell_angle_alpha 90.00
_cell_angle_beta 111.30
_cell_angle_gamma 90.00
loop_
_atom_site_label
_atom_site_fract_x
_atom_site_fract_y
_atom_site_fract_z
Li1 0.0358 0.0000 0.2464
Li2 0.2233 0.5000 0.2267
Li3 0.3199 0.3092 0.5806
Br1 0.5000 0.0000 0.5000
N1 0.5000 0.5000 0.5000
Cl1 0.0000 0.2484 0.0000
```

Properties
Formation energy without anion corrections ... -10.10 eV per formula unit

# 4
VASP calculation (PBE-GGA) on a geometry-optimized La7Y2Tm2 structure.

Cell and atoms, written as CIF:
```
data_La7Y2Tm2
_symmetry_space_group_name_H-M 'P 1 2/m 1'
_symmetry_Int_Tables_number 10
_symmetry_space_group_name_Hall '-P 2y'
_cell_length_a 7.0529
_cell_length_b 5.8190
_cell_length_c 9.6157
_cell_angle_alpha 90.00
_cell_angle_beta 96.19
_cell_angle_gamma 90.00
loop_
_atom_site_label
_atom_site_fract_x
_atom_site_fract_y
_atom_site_fract_z
La1 0.0000 0.0000 0.0000
La2 0.0123 0.5000 0.6890
La3 0.4557 0.0000 0.8260
La4 0.4695 0.5000 0.6538
Y1 0.2727 0.5000 0.0159
Tm1 0.2547 0.0000 0.4633
```

Properties
ΔE_f ... 131.1 meV/atom
Energy above the most stable polymorph in this dataset ... 42 meV per atom

# 5
VASP calculation (PBE-GGA) on a geometry-optimized Ba2LiAlAu2 structure.

Cell and atoms, written as CIF:
```
data_Ba2LiAlAu2
_symmetry_space_group_name_H-M 'I b a m'
_symmetry_Int_Tables_number 72
_symmetry_space_group_name_Hall '-I 2 2c'
_cell_length_a 6.2424
_cell_length_b 17.6054
_cell_length_c 6.4197
_cell_angle_alpha 90.00
_cell_angle_beta 90.00
_cell_angle_gamma 90.00
loop_
_atom_site_label
_atom_site_fract_x
_atom_site_fract_y
_atom_site_fract_z
Ba1 0.2396 0.1620 0.0000
Li1 0.0000 0.0000 0.2500
Al1 0.0000 0.5000 0.2500
Au1 0.2304 0.4128 0.0000
```

Properties
ΔE_f ... -533.6 meV/atom

# 6
VASP calculation (PBE-GGA) on a geometry-optimized VInGa structure.

Cell and atoms, written as CIF:
```
data_VInGa
_symmetry_space_group_name_H-M 'P -6 m 2'
_symmetry_Int_Tables_number 187
_symmetry_space_group_name_Hall 'P -6 2'
_cell_length_a 4.6604
_cell_length_b 4.6604
_cell_length_c 2.8522
_cell_angle_alpha 90.00
_cell_angle_beta 90.00
_cell_angle_gamma 120.00
loop_
_atom_site_label
_atom_site_fract_x
_atom_site_fract_y
_atom_site_fract_z
V1 0.0000 0.0000 0.0000
In1 0.3333 0.6667 0.5000
Ga1 0.6667 0.3333 0.5000
```

Properties
ΔE_f ... 269.9 meV/atom
Energy above the most stable polymorph in this dataset ... 68 meV per atom

# 7
VASP calculation (PBE-GGA) on a geometry-optimized Al2AgPb structure.

Cell and atoms, written as CIF:
```
data_Al2AgPb
_symmetry_space_group_name_H-M 'C 1 m 1'
_symmetry_Int_Tables_number 8
_symmetry_space_group_name_Hall 'C -2y'
_cell_length_a 8.9074
_cell_length_b 3.3771
_cell_length_c 5.8856
_cell_angle_alpha 90.00
_cell_angle_beta 101.79
_cell_angle_gamma 90.00
loop_
_atom_site_label
_atom_site_fract_x
_atom_site_fract_y
_atom_site_fract_z
Al1 0.0000 0.0000 0.0000
Al2 0.2405 0.5000 0.2031
Ag1 0.4762 0.0000 0.3699
Pb1 0.2382 0.0000 0.6935
```

Properties
ΔE_f ... 148.2 meV/atom

# 8
VASP calculation (PBE-GGA) on a geometry-optimized KGaPN2 structure.

Cell and atoms, written as CIF:
```
data_KGaPN2
_symmetry_space_group_name_H-M 'P 4/m m m'
_symmetry_Int_Tables_number 123
_symmetry_space_group_name_Hall '-P 4 2'
_cell_length_a 3.9433
_cell_length_b 3.9433
_cell_length_c 4.6701
_cell_angle_alpha 90.00
_cell_angle_beta 90.00
_cell_angle_gamma 90.00
loop_
_atom_site_label
_atom_site_fract_x
_atom_site_fract_y
_atom_site_fract_z
K1 0.0000 0.0000 0.0000
Ga1 0.5000 0.5000 0.0000
P1 0.5000 0.5000 0.5000
N1 0.0000 0.5000 0.5000
```

Properties
Formation energy without anion corrections ... 5.39 eV per formula unit

# 9
VASP calculation (PBE-GGA) on a geometry-optimized Y2MnW structure.

Cell and atoms, written as CIF:
```
data_Y2MnW
_symmetry_space_group_name_H-M 'I m m 2'
_symmetry_Int_Tables_number 44
_symmetry_space_group_name_Hall 'I 2 -2'
_cell_length_a 3.3733
_cell_length_b 4.9934
_cell_length_c 10.2022
_cell_angle_alpha 90.00
_cell_angle_beta 90.00
_cell_angle_gamma 90.00
loop_
_atom_site_label
_atom_site_fract_x
_atom_site_fract_y
_atom_site_fract_z
Y1 0.0000 0.0000 0.0000
Y2 0.0000 0.5000 0.2155
Mn1 0.0000 0.5000 0.7608
W1 0.0000 0.0000 0.4206
```

Properties
ΔE_f ... 293.2 meV/atom
Energy above the most stable polymorph in this dataset ... 67 meV per atom

# 10
VASP calculation (PBE-GGA) on a geometry-optimized DyPu2ScSe4 structure.

Cell and atoms, written as CIF:
```
data_DyPu2ScSe4
_symmetry_space_group_name_H-M 'P 1 2/m 1'
_symmetry_Int_Tables_number 10
_symmetry_space_group_name_Hall '-P 2y'
_cell_length_a 6.9915
_cell_length_b 4.0528
_cell_length_c 7.0895
_cell_angle_alpha 90.00
_cell_angle_beta 109.44
_cell_angle_gamma 90.00
loop_
_atom_site_label
_atom_site_fract_x
_atom_site_fract_y
_atom_site_fract_z
Dy1 0.0000 0.0000 0.0000
Pu1 0.5000 0.0000 0.5000
Pu2 0.5000 0.5000 0.0000
Sc1 0.0000 0.5000 0.5000
Se1 0.2353 0.0000 0.7391
Se2 0.2401 0.5000 0.2542
```

Properties
Formation energy without anion corrections ... -12.85 eV per formula unit

# 11
VASP calculation (PBE-GGA) on a geometry-optimized Ba2PuI6 structure.

Cell and atoms, written as CIF:
```
data_Ba2PuI6
_symmetry_space_group_name_H-M 'P 1 21/c 1'
_symmetry_Int_Tables_number 14
_symmetry_space_group_name_Hall '-P 2ybc'
_cell_length_a 7.8871
_cell_length_b 9.1018
_cell_length_c 13.7196
_cell_angle_alpha 90.00
_cell_angle_beta 123.89
_cell_angle_gamma 90.00
loop_
_atom_site_label
_atom_site_fract_x
_atom_site_fract_y
_atom_site_fract_z
Ba1 0.2082 0.1135 0.2505
Pu1 0.5000 0.0000 0.0000
I1 0.1001 0.1746 0.9363
I2 0.2769 0.6873 0.9391
I3 0.3691 0.0359 0.7366
```

Properties
Formation energy without anion corrections ... -13.53 eV per formula unit

# 12
VASP calculation (PBE-GGA) on a geometry-optimized VMoSN2 structure.

Cell and atoms, written as CIF:
```
data_VMoSN2
_symmetry_space_group_name_H-M 'P 4/m m m'
_symmetry_Int_Tables_number 123
_symmetry_space_group_name_Hall '-P 4 2'
_cell_length_a 3.8610
_cell_length_b 3.8610
_cell_length_c 4.9470
_cell_angle_alpha 90.00
_cell_angle_beta 90.00
_cell_angle_gamma 90.00
loop_
_atom_site_label
_atom_site_fract_x
_atom_site_fract_y
_atom_site_fract_z
V1 0.0000 0.0000 0.0000
Mo1 0.5000 0.5000 0.5000
S1 0.5000 0.5000 0.0000
N1 0.0000 0.5000 0.5000
```

Properties
Energy above the most stable polymorph in this dataset ... 67 meV per atom
Formation energy without anion corrections ... 3.01 eV per formula unit

Number 1: M_tot 0.00 μB/cell, electronic total energy -24.7 eV per cell. Number 2: M_tot 0.00 μB/cell, electronic total energy -158.2 eV per cell. Number 3: M_tot 0.00 μB/cell, electronic total energy -39.1 eV per cell. Number 4: M_tot 0.00 μB/cell, electronic total energy -54.9 eV per cell. Number 5: M_tot 0.00 μB/cell, electronic total energy -77.0 eV per cell. Number 6: M_tot 1.78 μB/cell, electronic total energy -14.1 eV per cell. Number 7: M_tot 0.00 μB/cell, electronic total energy -26.9 eV per cell. Number 8: M_tot 0.00 μB/cell, electronic total energy -20.8 eV per cell. Number 9: M_tot 0.00 μB/cell, electronic total energy -67.8 eV per cell. Number 10: M_tot 0.02 μB/cell, electronic total energy -66.4 eV per cell. Number 11: M_tot 12.00 μB/cell, electronic total energy -82.0 eV per cell. Number 12: M_tot 0.46 μB/cell, electronic total energy -37.7 eV per cell.